VASP calculation (GGA-PBE) on an optimized crystal structure of Ba3Na2Hg4Pd2.

POSCAR file:
```
Ba3Na2Hg4Pd2
1.0
-2.486 3.573 2.265
-1.915 -4.507 -0.307
7.560 -4.233 14.974
Ba Na Hg Pd
3 2 4 2
Direct
0.000 0.000 0.754
0.000 0.000 0.000
0.000 0.000 0.246
0.667 0.333 0.441
0.333 0.667 0.559
0.667 0.333 0.125
0.333 0.667 0.875
0.667 0.333 0.632
0.333 0.667 0.368
0.667 0.333 0.870
0.333 0.667 0.130
```

Computed properties:
Crystal system   trigonal
Space-group type   P-3m1, No. 164
Calculated volume   32.79 A^3/atom
DFT formation energy   -0.426 eV/atom
DOS(E_F)   0.3867 states/eV/atom
Final energy   -2.24 eV/atom

---

VASP calculation (GGA-PBE) on an optimized crystal structure of Li2CaMgAu4.

POSCAR file:
```
Li2CaMgAu4
1.0
-0.384 -3.353 3.088
3.062 -0.359 3.380
-3.881 3.784 7.013
Li Ca Mg Au
2 1 1 4
Direct
0.759 0.759 0.722
0.241 0.241 0.278
0.000 0.000 0.000
0.500 0.500 0.500
0.394 0.394 0.817
0.874 0.874 0.379
0.126 0.126 0.621
0.606 0.606 0.183
```

Computed properties:
Crystal system   trigonal
Space-group type   R-3m, No. 166
Calculated volume   19.17 A^3/atom
DFT formation energy   -0.608 eV/atom
DOS(E_F)   0.2521 states/eV/atom
Final energy   -3.17 eV/atom

---

VASP calculation (GGA-PBE) on an optimized crystal structure of Tm4Ni2Te.

POSCAR file:
```
Tm4Ni2Te
1.0
7.909 -0.538 0.353
-1.107 7.850 -0.354
-2.918 -4.104 6.132
Tm Ni Te
8 4 2
Direct
0.887 0.177 0.292
0.364 0.573 0.209
0.886 0.595 0.708
0.804 0.120 0.685
0.434 0.119 0.315
0.363 0.155 0.791
0.446 0.631 0.816
0.816 0.630 0.184
0.625 0.375 0.750
0.625 0.875 0.250
0.625 0.374 0.249
0.125 0.375 0.751
0.164 0.664 0.500
0.086 0.086 0.000
```

Computed properties:
Crystal system   orthorhombic
Space-group type   Imma, No. 74
Calculated volume   26.76 A^3/atom
Formation energy from raw total energies   -0.48 eV per atom
DOS(E_F)   0.6308 states/eV/atom
Final energy   -5.14 eV/atom

---

VASP calculation (GGA-PBE) on an optimized crystal structure of KMnBe.

POSCAR file:
```
KMnBe
1.0
-2.676 -0.896 3.900
-4.280 -2.156 -0.461
-0.591 -4.528 1.526
Be K Mn
1 1 1
Direct
0.250 0.250 0.250
0.000 0.000 0.000
0.500 0.500 0.500
```

Computed properties:
Crystal system   cubic
ΔE to the lowest computed polymorph   676 meV per atom
Space-group type   F-43m, No. 216
Calculated volume   26.30 A^3/atom
DFT formation energy   1.360 eV/atom
DOS(E_F)   1.2999 states/eV/atom
Final energy   -3.30 eV/atom